Entry 1:
Ru2Cl (GGA-PBE, relaxed); magnetic moment = 0.001 μB/f.u.; distance to the lowest polymorph of the same formula = 280.6 meV per atom; SG = I4/mmm, No. 139; total DFT energy (no corrections) = -6.310 eV per atom; formation energy (no corrections) = 11.3 kcal/mol of atoms
1.0
-3.168 0.368 4.977
-2.639 -3.527 3.941
4.616 1.521 -3.365
Cl Ru
1 2
direct
0.500 0.500 0.000
0.179 0.179 0.000
0.821 0.821 0.000

Entry 2:
RuCl (GGA-PBE, relaxed); magnetic moment = 0.000 μB/f.u.; distance to the lowest polymorph of the same formula = 371.1 meV per atom; SG = P6_3/m, No. 176; total DFT energy (no corrections) = -5.125 eV per atom; formation energy (no corrections) = 10.0 kcal/mol of atoms
1.0
9.526 0.000 0.000
-4.763 8.250 0.000
0.000 0.000 3.622
Ru Cl
6 6
direct
0.994 0.422 0.250
0.572 0.994 0.750
0.578 0.572 0.250
0.006 0.578 0.750
0.428 0.006 0.250
0.422 0.428 0.750
0.784 0.132 0.250
0.651 0.784 0.750
0.868 0.651 0.250
0.216 0.868 0.750
0.349 0.216 0.250
0.132 0.349 0.750

Entry 3:
Ru2Cl (GGA-PBE, relaxed); magnetic moment = 0.000 μB/f.u.; distance to the lowest polymorph of the same formula = 458.7 meV per atom; SG = P6_3/mmc, No. 194; total DFT energy (no corrections) = -6.131 eV per atom; formation energy (no corrections) = 15.4 kcal/mol of atoms
1.0
-0.716 3.406 -1.705
-2.586 -1.520 2.454
3.352 3.585 5.752
Ru Cl
4 2
direct
0.667 0.333 0.429
0.333 0.667 0.929
0.333 0.667 0.571
0.667 0.333 0.071
0.000 0.000 0.250
0.000 0.000 0.750

Entry 4:
RuCl (GGA-PBE, relaxed); magnetic moment = 0.000 μB/f.u.; distance to the lowest polymorph of the same formula = 229.8 meV per atom; SG = P4_12_12, No. 92; total DFT energy (no corrections) = -5.267 eV per atom; formation energy (no corrections) = 6.8 kcal/mol of atoms
1.0
-0.798 -3.895 -5.628
-5.410 -3.112 2.921
-4.106 4.659 -2.641
Ru Cl
8 8
direct
0.160 0.558 0.343
0.660 0.942 0.407
0.340 0.058 0.907
0.840 0.442 0.843
0.442 0.840 0.157
0.942 0.660 0.593
0.058 0.340 0.093
0.558 0.160 0.657
0.733 0.733 0.000
0.233 0.767 0.750
0.767 0.233 0.250
0.267 0.267 0.500
0.384 0.384 0.000
0.884 0.116 0.750
0.116 0.884 0.250
0.616 0.616 0.500

Entry 5:
RuCl (GGA-PBE, relaxed); magnetic moment = 0.002 μB/f.u.; distance to the lowest polymorph of the same formula = 519.2 meV per atom; SG = P6_3mc, No. 186; total DFT energy (no corrections) = -4.977 eV per atom; formation energy (no corrections) = 13.5 kcal/mol of atoms
1.0
-0.940 2.502 -1.363
0.593 -2.457 -1.617
-7.788 -2.451 0.869
Ru Cl
2 2
direct
0.333 0.667 0.677
0.667 0.333 0.177
0.333 0.667 0.405
0.667 0.333 0.905

Entry 6:
RuCl (GGA-PBE, relaxed); magnetic moment = 0.000 μB/f.u.; distance to the lowest polymorph of the same formula = 1002.3 meV per atom; SG = Pm-3n, No. 223; total DFT energy (no corrections) = -4.494 eV per atom; formation energy (no corrections) = 24.6 kcal/mol of atoms
1.0
6.603 0.000 0.000
0.000 6.603 0.000
0.000 0.000 6.603
Ru Cl
6 6
direct
0.250 0.500 0.000
0.750 0.500 0.000
0.500 0.000 0.250
0.500 0.000 0.750
0.000 0.250 0.500
0.000 0.750 0.500
0.250 0.000 0.500
0.750 0.000 0.500
0.000 0.500 0.250
0.000 0.500 0.750
0.500 0.250 0.000
0.500 0.750 0.000